(one)
Here is CdPd5Au2 after structural relaxation from Alexandria. Energies are from PBE.

Geometry as extended XYZ:
```
16
Lattice="5.740 0.000 0.000 0.000 11.482 0.000 0.000 0.000 4.006" Properties=species:S:1:pos:R:3 pbc="T T T"
Cd 0.000 0.000 0.000
Cd 2.870 5.741 0.000
Pd 0.000 5.741 0.000
Pd 0.039 2.872 0.000
Pd 1.419 10.044 2.003
Pd 1.451 4.303 2.003
Pd 2.831 8.613 0.000
Pd 2.870 0.000 0.000
Pd 2.909 2.869 0.000
Pd 4.289 7.179 2.003
Pd 4.321 1.438 2.003
Pd 5.701 8.610 0.000
Au 1.379 7.211 2.003
Au 1.491 1.470 2.003
Au 4.249 10.011 2.003
Au 4.361 4.271 2.003
```

## Properties
N(E_F) (states/eV per cell): 15.9
ρ (Mg/m³): 13.1
Total moment (μB per cell): 0.0

=====

(two)
Here is CdPd5Au2 after structural relaxation from Alexandria. Energies are from PBE.

Geometry as extended XYZ:
```
16
Lattice="4.037 0.000 0.000 0.000 4.037 0.000 0.000 0.000 16.212" Properties=species:S:1:pos:R:3 pbc="T T T"
Cd 0.000 0.000 0.000
Cd 2.018 2.018 8.106
Pd 0.000 0.000 8.106
Pd 0.000 2.018 2.005
Pd 0.000 2.018 6.101
Pd 0.000 2.018 10.111
Pd 0.000 2.018 14.207
Pd 2.018 0.000 2.005
Pd 2.018 0.000 6.101
Pd 2.018 0.000 10.111
Pd 2.018 0.000 14.207
Pd 2.018 2.018 0.000
Au 0.000 0.000 4.052
Au 0.000 0.000 12.160
Au 2.018 2.018 4.054
Au 2.018 2.018 12.158
```

## Properties
N(E_F) (states/eV per cell): 22.9
ρ (Mg/m³): 13.1
Total moment (μB per cell): 0.0

=====

Energetically preferred structure: (one) | next structure: +12 meV per atom

=====

(one)
Here is Cd2Pd3Au2 after structural relaxation from Alexandria. Energies are from PBE.

Geometry as extended XYZ:
```
14
Lattice="7.992 0.000 0.000 0.000 4.615 0.000 -2.651 0.000 6.674" Properties=species:S:1:pos:R:3 pbc="T T T"
Cd 0.005 0.000 1.634
Cd 1.341 2.307 5.040
Cd 4.001 2.307 1.634
Cd 5.337 0.000 5.040
Pd -1.325 2.307 3.337
Pd 0.005 0.000 4.398
Pd 1.340 2.307 2.276
Pd 2.671 0.000 3.337
Pd 4.001 2.307 4.398
Pd 5.336 0.000 2.276
Au -1.324 2.307 6.104
Au 2.669 0.000 0.570
Au 2.672 0.000 6.104
Au 6.665 2.307 0.570
```

## Properties
N(E_F) (states/eV per cell): 5.8
ρ (Mg/m³): 12.7
Total moment (μB per cell): 0.0

=====

(two)
Here is Cd2Pd3Au2 after structural relaxation from Alexandria. Energies are from PBE.

Geometry as extended XYZ:
```
14
Lattice="14.251 0.000 0.000 0.000 2.915 0.000 -3.257 0.000 6.012" Properties=species:S:1:pos:R:3 pbc="T T T"
Cd -0.269 0.000 2.347
Cd 4.137 1.457 3.664
Cd 6.857 1.457 2.347
Cd 11.262 0.000 3.664
Pd 0.000 1.457 0.000
Pd 2.144 1.457 1.764
Pd 1.724 0.000 4.248
Pd 7.126 0.000 0.000
Pd 9.269 0.000 1.764
Pd 8.850 1.457 4.248
Au -0.636 1.457 4.988
Au 4.504 0.000 1.024
Au 6.490 0.000 4.988
Au 11.629 1.457 1.024
```

## Properties
N(E_F) (states/eV per cell): 6.6
ρ (Mg/m³): 12.5
Total moment (μB per cell): 0.0

=====

Energetically preferred structure: (one) | next structure: +79 meV per atom

=====

(one)
Here is CdPdAu6 after structural relaxation from Alexandria. Energies are from PBE.

Geometry as extended XYZ:
```
16
Lattice="4.783 0.000 0.000 0.000 5.905 0.000 0.000 0.000 10.194" Properties=species:S:1:pos:R:3 pbc="T T T"
Cd 0.000 0.000 0.000
Cd 0.000 2.953 5.097
Pd 2.392 0.000 3.387
Pd 2.392 2.953 8.484
Au 0.000 0.000 5.079
Au 0.000 1.460 2.558
Au 0.000 1.493 7.655
Au 0.000 2.953 10.176
Au 0.000 4.413 7.655
Au 0.000 4.445 2.558
Au 2.392 0.000 8.478
Au 2.392 1.469 5.941
Au 2.392 1.483 0.844
Au 2.392 2.953 3.381
Au 2.392 4.422 0.844
Au 2.392 4.436 5.941
```

## Properties
N(E_F) (states/eV per cell): 10.1
ρ (Mg/m³): 16.2
Total moment (μB per cell): 0.0

=====

(two)
Here is CdPdAu6 after structural relaxation from Alexandria. Energies are from PBE.

Geometry as extended XYZ:
```
8
Lattice="5.914 0.000 0.000 0.000 5.914 0.000 0.000 0.000 4.105" Properties=species:S:1:pos:R:3 pbc="T T T"
Cd 0.000 0.000 0.000
Pd 2.957 2.957 0.000
Au 0.000 2.957 0.000
Au 1.499 1.499 2.053
Au 1.499 4.415 2.053
Au 2.957 0.000 0.000
Au 4.415 1.499 2.053
Au 4.415 4.415 2.053
```

## Properties
N(E_F) (states/eV per cell): 2.6
ρ (Mg/m³): 16.2
Total moment (μB per cell): 0.0

=====

Energetically preferred structure: (two) | next structure: +24 meV per atom

=====

(one)
Here is Cd6PdAu3 after structural relaxation from Alexandria. Energies are from PBE.

Geometry as extended XYZ:
```
20
Lattice="6.066 3.502 3.771 -6.066 3.502 3.771 0.000 -7.004 3.771" Properties=species:S:1:pos:R:3 pbc="T T T"
Cd -1.795 -4.950 4.731
Cd -5.184 -0.921 6.582
Cd -2.525 -0.477 4.735
Cd -3.390 4.029 4.731
Cd -0.849 -2.425 6.578
Cd 1.676 -1.948 4.735
Cd -1.676 1.948 6.578
Cd 0.849 2.425 4.735
Cd 3.390 -4.029 6.582
Cd 2.525 0.477 6.578
Cd 5.184 0.921 4.731
Cd 1.795 4.950 6.582
Pd 0.000 0.000 0.000
Pd 0.000 0.000 5.657
Au -3.594 -2.998 5.627
Au -4.393 1.614 5.686
Au 0.799 -4.612 5.686
Au -0.799 4.612 5.627
Au 4.393 -1.614 5.627
Au 3.594 2.998 5.686
```

## Properties
N(E_F) (states/eV per cell): 4.2
ρ (Mg/m³): 9.5
Total moment (μB per cell): 0.0

=====

(two)
Here is Cd6PdAu3 after structural relaxation from Alexandria. Energies are from PBE.

Geometry as extended XYZ:
```
20
Lattice="8.073 0.000 0.000 0.000 4.790 0.000 -4.022 0.000 10.117" Properties=species:S:1:pos:R:3 pbc="T T T"
Cd -1.297 1.198 3.387
Cd -0.582 3.593 1.653
Cd 1.208 1.198 1.408
Cd -0.056 3.593 4.913
Cd -0.522 1.198 9.362
Cd 2.367 3.593 3.033
Cd 1.684 1.198 7.084
Cd 4.574 3.593 0.755
Cd 4.107 1.198 5.204
Cd 2.843 3.593 8.709
Cd 4.634 1.198 8.463
Cd 5.348 3.593 6.730
Pd 1.417 1.198 4.257
Pd 2.634 3.593 5.860
Au -1.154 1.198 6.380
Au -2.289 3.593 9.832
Au 0.070 3.593 7.821
Au 3.981 1.198 2.295
Au 6.340 1.198 0.284
Au 5.206 3.593 3.736
```

## Properties
N(E_F) (states/eV per cell): 6.1
ρ (Mg/m³): 11.6
Total moment (μB per cell): 0.0

=====

Energetically preferred structure: (two) | next structure: +95 meV per atom

=====

(one)
Here is CdPd4Au5 after structural relaxation from Alexandria. Energies are from PBE.

Geometry as extended XYZ:
```
10
Lattice="4.837 0.000 0.000 1.187 5.632 0.000 1.816 1.216 6.277" Properties=species:S:1:pos:R:3 pbc="T T T"
Cd 0.000 0.000 0.000
Pd 2.404 2.423 3.772
Pd 2.416 0.823 1.258
Pd 5.424 6.025 5.020
Pd 5.436 4.425 2.505
Au 0.593 2.816 0.000
Au 3.016 5.246 3.729
Au 3.025 3.636 1.273
Au 4.815 3.212 5.004
Au 4.824 1.602 2.548
```

## Properties
N(E_F) (states/eV per cell): 4.0
ρ (Mg/m³): 14.8
Total moment (μB per cell): 0.0

=====

(two)
Here is CdPd4Au5 after structural relaxation from Alexandria. Energies are from PBE.

Geometry as extended XYZ:
```
20
Lattice="8.288 0.000 0.000 0.000 9.377 0.000 0.000 0.000 4.891" Properties=species:S:1:pos:R:3 pbc="T T T"
Cd 2.072 2.344 0.315
Cd 6.216 7.033 4.575
Pd 0.582 7.033 2.868
Pd 2.072 0.022 3.650
Pd 2.072 4.666 3.650
Pd 3.562 7.033 2.868
Pd 4.726 2.344 2.023
Pd 6.216 4.711 1.241
Pd 6.216 9.355 1.241
Pd 7.706 2.344 2.023
Au 0.675 4.713 1.219
Au 0.675 9.352 1.219
Au 2.072 7.033 0.364
Au 3.469 4.713 1.219
Au 3.469 9.352 1.219
Au 4.819 0.025 3.671
Au 4.819 4.664 3.671
Au 6.216 2.344 4.527
Au 7.613 0.025 3.671
Au 7.613 4.664 3.671
```

## Properties
N(E_F) (states/eV per cell): 5.3
ρ (Mg/m³): 13.3
Total moment (μB per cell): 0.0

=====

Energetically preferred structure: (one) | next structure: +153 meV per atom

=====

(one)
Here is CdPd3Au4 after structural relaxation from Alexandria. Energies are from PBE.

Geometry as extended XYZ:
```
16
Lattice="28.169 0.000 0.000 0.000 2.777 0.000 -0.444 0.000 4.637" Properties=species:S:1:pos:R:3 pbc="T T T"
Cd 0.000 0.000 0.000
Cd 14.084 1.389 0.000
Pd -0.222 1.389 2.318
Pd 6.266 1.389 3.441
Pd 7.374 0.000 1.196
Pd 13.862 0.000 2.318
Pd 20.351 0.000 3.441
Pd 21.458 1.389 1.196
Au 2.279 1.389 1.273
Au 4.932 1.389 0.975
Au 8.708 0.000 3.662
Au 11.361 0.000 3.364
Au 16.364 0.000 1.273
Au 19.017 0.000 0.975
Au 22.792 1.389 3.662
Au 25.446 1.389 3.364
```

## Properties
N(E_F) (states/eV per cell): 13.4
ρ (Mg/m³): 11.2
Total moment (μB per cell): 0.0

=====

(two)
Here is CdPd3Au4 after structural relaxation from Alexandria. Energies are from PBE.

Geometry as extended XYZ:
```
8
Lattice="2.916 0.000 0.000 0.000 4.368 0.000 1.353 2.137 11.518" Properties=species:S:1:pos:R:3 pbc="T T T"
Cd 0.000 0.000 0.000
Pd 1.446 4.341 3.626
Pd 1.458 2.184 0.000
Pd 2.822 2.165 7.892
Au 1.348 4.351 9.171
Au 1.396 4.346 6.427
Au 2.873 2.160 5.090
Au 2.921 2.155 2.346
```

## Properties
N(E_F) (states/eV per cell): 3.5
ρ (Mg/m³): 13.8
Total moment (μB per cell): 0.0

=====

Energetically preferred structure: (two) | next structure: +232 meV per atom

=====

(one)
Here is Cd3Pd2Au2 after structural relaxation from Alexandria. Energies are from PBE.

Geometry as extended XYZ:
```
7
Lattice="4.630 0.000 0.000 0.000 2.907 0.000 -2.118 0.000 9.945" Properties=species:S:1:pos:R:3 pbc="T T T"
Cd 0.000 0.000 0.000
Cd 0.099 0.000 5.840
Cd 2.413 0.000 4.105
Pd 0.121 1.454 8.485
Pd 2.391 1.454 1.460
Au 0.098 0.000 2.699
Au 2.413 0.000 7.246
```

## Properties
N(E_F) (states/eV per cell): 1.3
ρ (Mg/m³): 11.7
Total moment (μB per cell): 0.0

=====

(two)
Here is Cd3Pd2Au2 after structural relaxation from Alexandria. Energies are from PBE.

Geometry as extended XYZ:
```
7
Lattice="4.211 0.000 0.000 2.098 4.582 0.000 0.017 1.106 6.587" Properties=species:S:1:pos:R:3 pbc="T T T"
Cd 0.000 0.000 0.000
Cd 2.108 1.075 1.970
Cd 4.218 4.613 4.617
Pd 2.109 3.783 2.763
Pd 4.217 1.905 3.824
Au 2.115 2.876 5.586
Au 4.211 2.812 1.001
```

## Properties
N(E_F) (states/eV per cell): 2.5
ρ (Mg/m³): 12.3
Total moment (μB per cell): 0.0

=====

Energetically preferred structure: (two) | next structure: +150 meV per atom

=====

(one)
Here is Cd3Pd4Au after structural relaxation from Alexandria. Energies are from PBE.

Geometry as extended XYZ:
```
8
Lattice="3.772 0.000 0.000 0.000 4.274 0.000 0.000 0.000 8.563" Properties=species:S:1:pos:R:3 pbc="T T T"
Cd 0.000 0.000 0.000
Cd 0.000 2.137 2.193
Cd 0.000 2.137 6.370
Pd 1.886 0.000 2.131
Pd 1.886 0.000 6.432
Pd 1.886 2.137 0.000
Pd 1.886 2.137 4.282
Au 0.000 0.000 4.282
```

## Properties
N(E_F) (states/eV per cell): 2.0
ρ (Mg/m³): 11.5
Total moment (μB per cell): 0.0

=====

(two)
Here is Cd3Pd4Au after structural relaxation from Alexandria. Energies are from PBE.

Geometry as extended XYZ:
```
16
Lattice="8.530 0.000 0.000 0.000 5.738 0.000 0.000 0.000 5.653" Properties=species:S:1:pos:R:3 pbc="T T T"
Cd 0.000 0.000 0.000
Cd 2.133 1.510 1.413
Cd 2.133 4.228 4.240
Cd 4.265 0.000 2.827
Cd 6.398 1.510 1.413
Cd 6.398 4.228 4.240
Pd 0.000 0.000 2.827
Pd 0.000 2.869 2.827
Pd 2.133 1.373 4.240
Pd 2.133 4.365 1.413
Pd 4.265 0.000 0.000
Pd 4.265 2.869 0.000
Pd 6.398 1.373 4.240
Pd 6.398 4.365 1.413
Au 0.000 2.869 0.000
Au 4.265 2.869 2.827
```

## Properties
N(E_F) (states/eV per cell): 4.9
ρ (Mg/m³): 11.5
Total moment (μB per cell): 0.0

=====

Energetically preferred structure: (one) | next structure: +45 meV per atom